1.
## Zn6Fe (GGA-PBE)

Data for a relaxed Zn6Fe crystal.

Cell: 5.9479 5.9479 5.9479 Å, 109.47 109.47 109.47°
Element x y z (fractional)
Zn 0.2500 0.5000 0.7500
Zn 0.2500 0.7500 0.5000
Zn 0.5000 0.2500 0.7500
Zn 0.5000 0.7500 0.2500
Zn 0.7500 0.2500 0.5000
Zn 0.7500 0.5000 0.2500
Fe 0.0000 0.0000 0.0000

Calculated values
The crystal system is cubic. The calculation puts the spin magnetization at 3.13 μB per formula unit. Its formation energy is 0.897 eV/atom. Its polymorph energy (0 for the lowest one) is 807.9 meV per atom. The calculated density is 4.6 g/cm³. The space group is Im-3m, No. 229.

=====

2.
## TaFe2RhN (GGA-PBE)

Data for a relaxed TaFe2RhN crystal.

Cell: 3.8370 3.8370 4.1875 Å, 90.00 90.00 90.00°
Element x y z (fractional)
Ta 0.0000 0.0000 0.0000
Fe 0.0000 0.5000 0.5000
Fe 0.5000 0.0000 0.5000
Rh 0.5000 0.5000 0.0000
N 0.0000 0.0000 0.5000

Calculated values
The uncorrected formation energy comes out at -352 meV per atom. The crystal system is tetragonal. The calculation puts the spin magnetization at 4.13 μB per formula unit. The calculated density is 11.0 g/cm³. The space group is P4/mmm, No. 123.

=====

3.
## SrLa2Pt (GGA-PBE)

Data for a relaxed SrLa2Pt crystal.

Cell: 6.8821 6.8821 6.8821 Å, 147.43 128.69 62.10°
Element x y z (fractional)
Sr 0.0000 0.0000 0.0000
La 0.3147 0.8147 0.5000
La 0.6853 0.1853 0.5000
Pt 0.5000 0.5000 0.0000

Calculated values
The crystal system is orthorhombic. The calculation puts the spin magnetization at 0.00 μB per formula unit. Its formation energy is -0.514 eV/atom. Its polymorph energy (0 for the lowest one) is 59.5 meV per atom. The calculated density is 6.9 g/cm³. The space group is Immm, No. 71.

=====

4.
## VGePd (GGA-PBE)

Data for a relaxed VGePd crystal.

Cell: 4.2741 4.2741 2.8141 Å, 90.00 90.00 120.00°
Element x y z (fractional)
V 0.0000 0.0000 0.0000
Ge 0.3333 0.6667 0.5014
Pd 0.6667 0.3333 0.4995

Calculated values
The crystal system is trigonal. The calculation puts the spin magnetization at 0.85 μB per formula unit. Its formation energy is -0.247 eV/atom. The calculated density is 8.6 g/cm³. The space group is P3m1, No. 156.

=====

5.
## ScTaOs (GGA-PBE)

Data for a relaxed ScTaOs crystal.

Cell: 5.6446 5.6446 5.6446 Å, 147.08 147.08 47.25°
Element x y z (fractional)
Sc 0.0000 0.0000 0.0000
Ta 0.6902 0.6902 0.0000
Os 0.3301 0.3301 0.0000

Calculated values
The crystal system is tetragonal. The calculation puts the spin magnetization at 0.00 μB per formula unit. Its formation energy is -0.266 eV/atom. Its polymorph energy (0 for the lowest one) is 62.8 meV per atom. The calculated density is 13.1 g/cm³. The space group is I4mm, No. 107.

=====

6.
## SrLa2W (GGA-PBE)

Data for a relaxed SrLa2W crystal.

Cell: 3.6517 4.8819 7.9673 Å, 90.00 101.19 90.00°
Element x y z (fractional)
Sr 0.0000 0.0000 0.0000
La 0.3577 0.5000 0.6472
La 0.6017 0.0000 0.3912
W 0.9094 0.5000 0.3330

Calculated values
The crystal system is monoclinic. The calculation puts the spin magnetization at 0.00 μB per formula unit. Its formation energy is 0.715 eV/atom. Its polymorph energy (0 for the lowest one) is 256.1 meV per atom. The calculated density is 6.5 g/cm³. The space group is Pm, No. 6.

=====

7.
## CuSbSe2 (GGA-PBE)

Data for a relaxed CuSbSe2 crystal.

Cell: 3.9556 3.9556 6.0208 Å, 90.00 90.00 90.00°
Element x y z (fractional)
Cu 0.0000 0.0000 0.0000
Sb 0.5000 0.5000 0.5102
Se 0.0000 0.0000 0.6001
Se 0.5000 0.5000 0.0825

Calculated values
The uncorrected formation energy comes out at -54 meV per atom. The crystal system is tetragonal. The calculation puts the spin magnetization at 0.00 μB per formula unit. The calculated density is 6.1 g/cm³. The space group is P4mm, No. 99.

=====

8.
## Ho3Er6Th2 (GGA-PBE)

Data for a relaxed Ho3Er6Th2 crystal.

Cell: 31.5096 31.5096 31.5096 Å, 6.44 6.44 6.44°
Element x y z (fractional)
Ho 0.0000 0.0000 0.0000
Ho 0.2728 0.2728 0.2728
Ho 0.7272 0.7272 0.7272
Er 0.0913 0.0913 0.0913
Er 0.1823 0.1823 0.1823
Er 0.3636 0.3636 0.3636
Er 0.6364 0.6364 0.6364
Er 0.8177 0.8177 0.8177
Er 0.9087 0.9087 0.9087
Th 0.4546 0.4546 0.4546
Th 0.5454 0.5454 0.5454

Calculated values
The crystal system is trigonal. The calculation puts the spin magnetization at 0.00 μB per formula unit. Its formation energy is 0.021 eV/atom. The calculated density is 9.6 g/cm³. The space group is R-3m, No. 166.

=====

9.
## PmPr6Er6 (GGA-PBE)

Data for a relaxed PmPr6Er6 crystal.

Cell: 6.6386 11.2201 6.6944 Å, 90.00 115.43 90.00°
Element x y z (fractional)
Pm 0.0000 0.0000 0.0000
Pr 0.0000 0.3288 0.0000
Pr 0.0000 0.6712 0.0000
Pr 0.2760 0.5000 0.7397
Pr 0.3338 0.0000 0.6146
Pr 0.6662 0.0000 0.3854
Pr 0.7240 0.5000 0.2603
Er 0.0000 0.2337 0.5000
Er 0.0000 0.7663 0.5000
Er 0.5000 0.2173 0.0000
Er 0.5000 0.2993 0.5000
Er 0.5000 0.7007 0.5000
Er 0.5000 0.7827 0.0000

Calculated values
The crystal system is monoclinic. The calculation puts the spin magnetization at 0.00 μB per formula unit. Its formation energy is 0.207 eV/atom. The calculated density is 7.4 g/cm³. The space group is P2/m, No. 10.

=====

10.
## CsVBSe6 (GGA-PBE)

Data for a relaxed CsVBSe6 crystal.

Cell: 5.3275 6.5649 8.1887 Å, 92.05 104.47 102.81°
Element x y z (fractional)
Cs 0.0000 0.0000 0.0000
V 0.0430 0.3836 0.5194
B 0.8569 0.9009 0.4267
Se 0.1850 0.0455 0.5886
Se 0.2265 0.5328 0.3024
Se 0.4392 0.5473 0.7476
Se 0.6459 0.0936 0.3339
Se 0.7439 0.5977 0.3345
Se 0.8727 0.4569 0.7617

Calculated values
The uncorrected formation energy comes out at -440 meV per atom. The crystal system is triclinic. The calculation puts the spin magnetization at 0.26 μB per formula unit. The calculated density is 4.1 g/cm³. The space group is P1, No. 1.

=====

11.
## Nd2MgSi4Rh3 (GGA-PBE)

Data for a relaxed Nd2MgSi4Rh3 crystal.

Cell: 4.2018 4.2018 10.2506 Å, 90.00 90.00 90.00°
Element x y z (fractional)
Nd 0.0000 0.5000 0.2377
Nd 0.5000 0.0000 0.7623
Mg 0.0000 0.0000 0.5000
Si 0.0000 0.0000 0.0000
Si 0.0000 0.5000 0.6484
Si 0.5000 0.0000 0.3516
Si 0.5000 0.5000 0.0000
Rh 0.0000 0.5000 0.8829
Rh 0.5000 0.0000 0.1171
Rh 0.5000 0.5000 0.5000

Calculated values
The uncorrected formation energy comes out at -863 meV per atom. The crystal system is tetragonal. The calculation puts the spin magnetization at 0.00 μB per formula unit. The calculated density is 6.7 g/cm³. The space group is P-4m2, No. 115.

=====

12.
## Nd2Th2Te7 (GGA-PBE)

Data for a relaxed Nd2Th2Te7 crystal.

Cell: 5.3280 5.3280 15.0862 Å, 90.00 90.00 90.00°
Element x y z (fractional)
Nd 0.0000 0.5000 0.1374
Nd 0.5000 0.0000 0.8626
Th 0.0000 0.5000 0.6254
Th 0.5000 0.0000 0.3746
Te 0.0000 0.0000 0.2412
Te 0.0000 0.0000 0.5000
Te 0.0000 0.0000 0.7588
Te 0.5000 0.5000 0.0000
Te 0.5000 0.5000 0.2574
Te 0.5000 0.5000 0.5000
Te 0.5000 0.5000 0.7426

Calculated values
The uncorrected formation energy comes out at -1156 meV per atom. The crystal system is tetragonal. The calculation puts the spin magnetization at 0.00 μB per formula unit. Its polymorph energy (0 for the lowest one) is 140.0 meV per atom. The calculated density is 6.4 g/cm³. The space group is P-4m2, No. 115.

=====

13.
## TlIn2P (GGA-PBE)

Data for a relaxed TlIn2P crystal.

Cell: 5.6305 5.6305 5.6305 Å, 130.34 130.34 72.87°
Element x y z (fractional)
Tl 0.0000 0.0000 0.0000
In 0.2500 0.7500 0.5000
In 0.7500 0.2500 0.5000
P 0.5000 0.5000 0.0000

Calculated values
The crystal system is tetragonal. The calculation puts the spin magnetization at 0.00 μB per formula unit. Its formation energy is 0.251 eV/atom. Its polymorph energy (0 for the lowest one) is 261.5 meV per atom. The calculated density is 7.6 g/cm³. The space group is I4/mmm, No. 139.

=====

14.
## Pa3PdN (GGA-PBE)

Data for a relaxed Pa3PdN crystal.

Cell: 4.6902 4.6902 4.6902 Å, 90.00 90.00 90.00°
Element x y z (fractional)
Pa 0.0000 0.0000 0.5000
Pa 0.0000 0.5000 0.0000
Pa 0.5000 0.0000 0.0000
Pd 0.5000 0.5000 0.5000
N 0.0000 0.0000 0.0000

Calculated values
The uncorrected formation energy comes out at -582 meV per atom. The crystal system is cubic. The calculation puts the spin magnetization at 0.00 μB per formula unit. The calculated density is 13.1 g/cm³. The space group is Pm-3m, No. 221.

=====

15.
## Pm3NpN6 (GGA-PBE)

Data for a relaxed Pm3NpN6 crystal.

Cell: 6.9182 6.9182 6.9182 Å, 91.43 91.43 91.43°
Element x y z (fractional)
Pm 0.0537 0.5577 0.7513
Pm 0.2487 0.9463 0.4423
Pm 0.4423 0.2487 0.9463
Pm 0.5577 0.7513 0.0537
Pm 0.7513 0.0537 0.5577
Pm 0.9463 0.4423 0.2487
Np 0.0000 0.0000 0.0000
Np 0.5000 0.5000 0.5000
N 0.0354 0.9123 0.7128
N 0.0877 0.2872 0.9646
N 0.2123 0.5782 0.4420
N 0.2872 0.9646 0.0877
N 0.4218 0.5580 0.7877
N 0.4420 0.2123 0.5782
N 0.5580 0.7877 0.4218
N 0.5782 0.4420 0.2123
N 0.7128 0.0354 0.9123
N 0.7877 0.4218 0.5580
N 0.9123 0.7128 0.0354
N 0.9646 0.0877 0.2872

Calculated values
The uncorrected formation energy comes out at -989 meV per atom. The crystal system is trigonal. The calculation puts the spin magnetization at 0.40 μB per formula unit. The calculated density is 7.6 g/cm³. The space group is R-3, No. 148.

=====

16.
## La2IrAu (GGA-PBE)

Data for a relaxed La2IrAu crystal.

Cell: 4.3407 4.3407 6.9701 Å, 90.00 90.00 120.00°
Element x y z (fractional)
La 0.3333 0.6667 0.2812
La 0.6667 0.3333 0.7188
Ir 0.0000 0.0000 0.5000
Au 0.0000 0.0000 0.0000

Calculated values
The crystal system is trigonal. The calculation puts the spin magnetization at 0.00 μB per formula unit. Its formation energy is -0.752 eV/atom. The calculated density is 9.7 g/cm³. The space group is P-3m1, No. 164.

=====

17.
## CaV2Tc (GGA-PBE)

Data for a relaxed CaV2Tc crystal.

Cell: 4.5811 4.5811 4.5811 Å, 60.00 60.00 60.00°
Element x y z (fractional)
Ca 0.0000 0.0000 0.0000
V 0.2500 0.2500 0.2500
V 0.7500 0.7500 0.7500
Tc 0.5000 0.5000 0.5000

Calculated values
The crystal system is cubic. The calculation puts the spin magnetization at 3.50 μB per formula unit. Its formation energy is 0.574 eV/atom. Its polymorph energy (0 for the lowest one) is 0.0 meV per atom. The calculated density is 5.9 g/cm³. The space group is Fm-3m, No. 225.

=====

18.
## NiMoW2 (GGA-PBE)

Data for a relaxed NiMoW2 crystal.

Cell: 5.0102 5.0102 5.0102 Å, 141.57 128.86 65.75°
Element x y z (fractional)
Ni 0.0000 0.0000 0.0000
Mo 0.7433 0.2433 0.5000
W 0.2527 0.7527 0.5000
W 0.4982 0.4982 0.0000

Calculated values
The crystal system is orthorhombic. The calculation puts the spin magnetization at 0.00 μB per formula unit. Its formation energy is 0.186 eV/atom. Its polymorph energy (0 for the lowest one) is 125.6 meV per atom. The calculated density is 14.5 g/cm³. The space group is Imm2, No. 44.

=====

19.
## LiMnAu4 (GGA-PBE)

Data for a relaxed LiMnAu4 crystal.

Cell: 4.5152 4.5152 5.6167 Å, 90.00 90.00 90.00°
Element x y z (fractional)
Li 0.0000 0.0000 0.0000
Mn 0.5000 0.5000 0.5000
Au 0.0000 0.5000 0.2457
Au 0.0000 0.5000 0.7543
Au 0.5000 0.0000 0.2457
Au 0.5000 0.0000 0.7543

Calculated values
The crystal system is tetragonal. The calculation puts the spin magnetization at 4.36 μB per formula unit. Its formation energy is -0.070 eV/atom. Its polymorph energy (0 for the lowest one) is 148.6 meV per atom. The calculated density is 12.3 g/cm³. The space group is P4/mmm, No. 123.

=====

20.
## Tb2TmBi (GGA-PBE)

Data for a relaxed Tb2TmBi crystal.

Cell: 12.1902 12.1902 12.1902 Å, 16.63 16.63 16.63°
Element x y z (fractional)
Tb 0.0880 0.0880 0.0880
Tb 0.9120 0.9120 0.9120
Tm 0.5000 0.5000 0.5000
Bi 0.0000 0.0000 0.0000

Calculated values
The crystal system is trigonal. The calculation puts the spin magnetization at 0.00 μB per formula unit. Its formation energy is 0.016 eV/atom. Its polymorph energy (0 for the lowest one) is 397.5 meV per atom. The calculated density is 8.9 g/cm³. The space group is R-3m, No. 166.

=====

21.
## NbGaHSI (GGA-PBE)

Data for a relaxed NbGaHSI crystal.

Cell: 3.6504 3.7971 7.5852 Å, 90.00 90.00 90.00°
Element x y z (fractional)
Nb 0.0000 0.0000 0.0000
Ga 0.5000 0.5000 0.0944
H 0.5000 0.0000 0.9092
S 0.5000 0.0000 0.2773
I 0.0000 0.5000 0.7139

Calculated values
The crystal system is orthorhombic. The calculation puts the spin magnetization at 0.00 μB per formula unit. Its polymorph energy (0 for the lowest one) is 47.9 meV per atom. The calculated density is 5.1 g/cm³. The space group is Pmm2, No. 25.

=====

22.
## TaNbVOs (GGA-PBE)

Data for a relaxed TaNbVOs crystal.

Cell: 4.4846 4.4846 4.4846 Å, 60.00 60.00 60.00°
Element x y z (fractional)
Ta 0.0000 0.0000 0.0000
Nb 0.5000 0.5000 0.5000
V 0.7500 0.7500 0.7500
Os 0.2500 0.2500 0.2500

Calculated values
The crystal system is cubic. The calculation puts the spin magnetization at 0.00 μB per formula unit. Its formation energy is -0.287 eV/atom. The calculated density is 13.4 g/cm³. The space group is F-43m, No. 216.

=====

23.
## ScTlNi2 (GGA-PBE)

Data for a relaxed ScTlNi2 crystal.

Cell: 5.1816 5.1816 5.1816 Å, 47.79 47.79 47.79°
Element x y z (fractional)
Sc 0.0000 0.0000 0.0000
Tl 0.7917 0.7917 0.7917
Ni 0.2187 0.2187 0.2187
Ni 0.5767 0.5767 0.5767

Calculated values
The crystal system is trigonal. The calculation puts the spin magnetization at 0.00 μB per formula unit. Its formation energy is -0.118 eV/atom. The calculated density is 8.7 g/cm³. The space group is R3m, No. 160.

=====

24.
## KZr2F (GGA-PBE)

Data for a relaxed KZr2F crystal.

Cell: 6.9347 6.9347 6.9347 Å, 119.64 119.64 90.63°
Element x y z (fractional)
K 0.0000 0.0000 0.0000
K 0.7500 0.2500 0.5000
Zr 0.3345 0.6250 0.2095
Zr 0.3750 0.5845 0.7095
Zr 0.4155 0.1250 0.7905
Zr 0.8750 0.6655 0.2905
F 0.2500 0.7500 0.5000
F 0.5000 0.5000 0.0000

Calculated values
The uncorrected formation energy comes out at -83 meV per atom. The crystal system is tetragonal. The calculation puts the spin magnetization at 0.00 μB per formula unit. Its polymorph energy (0 for the lowest one) is 0.0 meV per atom. The calculated density is 3.4 g/cm³. The space group is I-42d, No. 122.

=====

25.
## YZnCr2 (GGA-PBE)

Data for a relaxed YZnCr2 crystal.

Cell: 3.0441 4.6288 5.1556 Å, 90.00 97.83 90.00°
Element x y z (fractional)
Y 0.0000 0.0000 0.0000
Zn 0.5000 0.0000 0.5000
Cr 0.3205 0.5000 0.6560
Cr 0.6795 0.5000 0.3440

Calculated values
The crystal system is monoclinic. The calculation puts the spin magnetization at 0.00 μB per formula unit. Its formation energy is 0.486 eV/atom. The calculated density is 6.0 g/cm³. The space group is P2/m, No. 10.

=====

26.
## P2Ru2SeN (GGA-PBE)

Data for a relaxed P2Ru2SeN crystal.

Cell: 6.2910 6.2910 6.3446 Å, 98.31 98.31 33.21°
Element x y z (fractional)
P 0.0000 0.0000 0.0000
P 0.7359 0.7359 0.8866
Ru 0.1343 0.1343 0.7811
Ru 0.6086 0.6086 0.1245
Se 0.1364 0.1364 0.4024
N 0.8685 0.8685 0.9455

Calculated values
The uncorrected formation energy comes out at -176 meV per atom. The crystal system is monoclinic. The calculation puts the spin magnetization at 0.00 μB per formula unit. Its polymorph energy (0 for the lowest one) is 45.3 meV per atom. The calculated density is 4.4 g/cm³. The space group is Cm, No. 8.

=====

27.
## BaCr2P (GGA-PBE)

Data for a relaxed BaCr2P crystal.

Cell: 6.1521 6.1521 3.2464 Å, 105.29 105.29 118.03°
Element x y z (fractional)
Ba 0.0000 0.0000 0.0000
Cr 0.0000 0.5000 0.5000
Cr 0.5000 0.0000 0.5000
P 0.5000 0.5000 0.0000

Calculated values
The crystal system is monoclinic. The calculation puts the spin magnetization at 8.30 μB per formula unit. Its formation energy is 0.867 eV/atom. The calculated density is 4.9 g/cm³. The space group is C2/m, No. 12.